Record 1
Density functional theory data (PBE) for PmIrPdPb after structural relaxation.

N(E_F) = 3.4 states/eV/cell
DFT formation energy = -152.2 kJ/mol of formula units
M_tot = 0.00 μB per atom

Cell lengths 4.903, 4.903, 4.903 Å; angles 60.00, 60.00, 60.00 degrees
Atoms (fractional coordinates):
Pb 0.250 0.250 0.250
Ir 0.000 0.000 0.000
Pd 0.500 0.500 0.500
Pm 0.750 0.750 0.750



Record 2
Density functional theory data (PBE) for SbIrPd2Pb after structural relaxation.

N(E_F) = 7.2 states/eV/cell
formation energy from raw total energies = 773.4 meV per atom
M_tot = 0.13 μB per atom

Cell lengths 4.973, 5.105, 4.973 Å; angles 90.00, 90.00, 90.00 degrees
Atoms (fractional coordinates):
Pb 0.000 0.500 0.000
Sb 0.500 0.500 0.500
Ir 0.000 0.000 0.000
Pd 0.000 0.000 0.500
Pd 0.500 0.000 0.000



Record 3
Density functional theory data (PBE) for ScIrPdPb after structural relaxation.

N(E_F) = 2.6 states/eV/cell
DFT formation energy = -179.9 kJ/mol of formula units
M_tot = 0.00 μB per atom

Cell lengths 4.691, 4.691, 4.691 Å; angles 60.00, 60.00, 60.00 degrees
Atoms (fractional coordinates):
Pb 0.250 0.250 0.250
Sc 0.750 0.750 0.750
Ir 0.000 0.000 0.000
Pd 0.500 0.500 0.500



no.,total energy (eV per atom)
1,-6.022
2,-4.642
3,-6.490